# 1
! Co3TcSb PBE optimized geometry; values from VASP
! Energy relative to the lowest polymorph listed for this composition: 0.000 eV per atom
! Formation energy from raw total energies: 1.230 eV per atom
&SYSTEM
  ibrav = 0, nat = 5, ntyp = 3
/
ATOMIC_SPECIES
Co 58.93 Co.upf
Tc 98.00 Tc.upf
Sb 121.76 Sb.upf
CELL_PARAMETERS angstrom
4.434 0.000 0.000
0.000 4.434 0.000
0.000 0.000 4.434
ATOMIC_POSITIONS crystal
Co 0.500 0.000 0.000
Co 0.000 0.500 0.000
Co 0.000 0.000 0.500
Tc 0.000 0.000 0.000
Sb 0.500 0.500 0.500

# 2
! PrY2Tm4 PBE optimized geometry; values from VASP
! Energy relative to the lowest polymorph listed for this composition: 0.141 eV per atom
! Formation energy from the elements: 0.169 eV per atom
&SYSTEM
  ibrav = 0, nat = 14, ntyp = 3
/
ATOMIC_SPECIES
Tm 168.93 Tm.upf
Y 88.91 Y.upf
Pr 140.91 Pr.upf
CELL_PARAMETERS angstrom
8.864 0.516 1.143
0.054 9.047 -2.144
-3.565 -6.301 6.688
ATOMIC_POSITIONS crystal
Tm 0.831 0.079 0.271
Tm 0.918 0.752 0.813
Tm 0.401 0.188 0.781
Tm 0.520 0.748 0.719
Tm 0.354 0.640 0.294
Tm 0.231 0.070 0.355
Tm 0.952 0.755 0.311
Tm 0.790 0.062 0.751
Y 0.677 0.409 0.252
Y 0.498 0.758 0.105
Y 0.670 0.389 0.709
Y 0.078 0.412 0.819
Pr 0.079 0.427 0.354
Pr 0.251 0.061 0.966

# 3
! CaHgIr PBE optimized geometry; values from VASP
! Formation energy from the elements: 0.510 eV per atom
&SYSTEM
  ibrav = 0, nat = 3, ntyp = 3
/
ATOMIC_SPECIES
Ca 40.08 Ca.upf
Hg 200.59 Hg.upf
Ir 192.22 Ir.upf
CELL_PARAMETERS angstrom
4.726 0.000 0.000
2.363 4.093 0.000
2.363 1.364 3.859
ATOMIC_POSITIONS crystal
Ca 0.750 0.750 0.750
Hg 0.000 0.000 0.000
Ir 0.500 0.500 0.500

# 4
! SmHg2Rh PBE optimized geometry; values from VASP
! Formation energy from the elements: -0.269 eV per atom
&SYSTEM
  ibrav = 0, nat = 4, ntyp = 3
/
ATOMIC_SPECIES
Sm 150.36 Sm.upf
Hg 200.59 Hg.upf
Rh 102.91 Rh.upf
CELL_PARAMETERS angstrom
4.965 0.000 0.000
2.482 4.299 0.000
2.482 1.433 4.054
ATOMIC_POSITIONS crystal
Sm 0.000 0.000 0.000
Hg 0.250 0.250 0.250
Hg 0.750 0.750 0.750
Rh 0.500 0.500 0.500

What did the fourth record say?
! SmHg2Rh PBE optimized geometry; values from VASP
! Formation energy from the elements: -0.269 eV per atom
&SYSTEM
  ibrav = 0, nat = 4, ntyp = 3
/
ATOMIC_SPECIES
Sm 150.36 Sm.upf
Hg 200.59 Hg.upf
Rh 102.91 Rh.upf
CELL_PARAMETERS angstrom
4.965 0.000 0.000
2.482 4.299 0.000
2.482 1.433 4.054
ATOMIC_POSITIONS crystal
Sm 0.000 0.000 0.000
Hg 0.250 0.250 0.250
Hg 0.750 0.750 0.750
Rh 0.500 0.500 0.500

Number 2 is which compound?
PrY2Tm4